VASP calculation (GGA-PBE) on a geometry-optimized Pr5Ga4Cu structure.

Cell: 3.6609 3.6609 19.0379 Å, 90.00 90.00 90.00°
Closest atoms and distances in Å follow each position.
Space group P4/mmm (No. 123)
Inequivalent atoms, fractional coordinates:
Pr 0.0000 0.0000 0.0000  8 Ga 3.22
Pr 0.0000 0.0000 0.2020  8 Ga 3.23-3.25
Pr 0.0000 0.0000 0.4032  4 Cu 3.18, 4 Ga 3.19
Ga 0.5000 0.5000 0.1008  8 Pr 3.22-3.23
Ga 0.5000 0.5000 0.3052  8 Pr 3.19-3.25
Cu 0.5000 0.5000 0.5000  8 Pr 3.18

* total energy: -4.463 eV per atom
* spin magnetization: 0.0 μB per formula unit
* energy of formation: -437 kJ/mol of formula units
* density: 6.81 g/cm3

VASP calculation (GGA-PBE) on a geometry-optimized Pr2Ga2Cu3 structure.

Cell: 8.4193 8.4193 8.4193 Å, 90.00 90.00 90.00°
Closest atoms and distances in Å follow each position.
Space group I2_13 (No. 199)
Inequivalent atoms, fractional coordinates:
Pr 0.2327 0.2673 0.7327  6 Cu 2.95-3.26, 1 Ga 2.97
Ga 0.0293 0.4707 0.5293  3 Cu 2.44
Cu 0.0000 0.2500 0.0416  2 Ga 2.44

* total energy: -4.184 eV per atom
* spin magnetization: 0.0 μB per formula unit
* energy of formation: -134 kJ/mol of formula units
* density: 6.81 g/cm3

VASP calculation (GGA-PBE) on a geometry-optimized Pr8GaCu2 structure.

Cell: 8.9345 13.9268 5.5269 Å, 90.00 107.29 90.00°
Closest atoms and distances in Å follow each position.
Space group C2/m (No. 12)
Inequivalent atoms, fractional coordinates:
Pr 0.0000 0.2368 0.0000  2 Cu 2.95, 1 Ga 3.30
Pr 0.1148 0.5000 0.8129  2 Cu 3.14, 1 Ga 3.29, 2 Pr 3.32-3.46
Pr 0.1970 0.1206 0.5808  2 Cu 3.02-3.15, 2 Pr 3.36
Ga 0.0000 0.0000 0.0000  8 Pr 3.29-3.59
Cu 0.0000 0.3114 0.5000  8 Pr 2.95-3.15

* total energy: -4.538 eV per atom
* spin magnetization: 0.0 μB per formula unit
* energy of formation: -45 kJ/mol of formula units
* density: 6.70 g/cm3

VASP calculation (GGA-PBE) on a geometry-optimized Pr2Ga5Cu structure.

Cell: 6.1902 6.1902 9.0193 Å, 90.00 90.00 90.00°
Closest atoms and distances in Å follow each position.
Space group I4mm (No. 107)
Inequivalent atoms, fractional coordinates:
Pr 0.0000 0.5000 0.0000  10 Ga 3.10-3.17
Ga 0.0000 0.0000 0.4900  1 Cu 2.62, 4 Ga 2.86
Ga 0.2162 0.2162 0.2523  1 Cu 2.50, 2 Ga 2.68
Cu 0.0000 0.0000 0.7804  5 Ga 2.50-2.62

* total energy: -4.031 eV per atom
* spin magnetization: 0.0 μB per formula unit
* energy of formation: -334 kJ/mol of formula units
* density: 6.67 g/cm3

VASP calculation (GGA-PBE) on a geometry-optimized Pr4GaCu structure.

Cell: 9.0070 14.2480 6.1404 Å, 90.00 118.46 90.00°
Closest atoms and distances in Å follow each position.
Space group C2/c (No. 15)
Inequivalent atoms, fractional coordinates:
Pr 0.1244 0.1912 0.0886  2 Ga 3.20-3.25, 2 Cu 3.23-3.33, 1 Pr 3.38
Pr 0.2089 0.4281 0.3172  2 Cu 2.91-3.00, 2 Ga 3.15-3.24
Ga 0.0000 0.3796 0.7500  8 Pr 3.15-3.25
Cu 0.0000 0.0049 0.7500  6 Pr 2.91-3.23, 2 Cu 3.07

* total energy: -4.559 eV per atom
* spin magnetization: 0.0 μB per formula unit
* energy of formation: -107 kJ/mol of formula units
* density: 6.68 g/cm3

VASP calculation (GGA-PBE) on a geometry-optimized Pr3GaCu2 structure.

Cell: 5.1889 15.4462 3.6623 Å, 90.00 90.00 90.00°
Closest atoms and distances in Å follow each position.
Space group Cmmm (No. 65)
Inequivalent atoms, fractional coordinates:
Pr 0.0000 0.0000 0.0000  4 Cu 3.08, 4 Ga 3.18
Pr 0.0000 0.3305 0.0000  6 Cu 3.18-3.21, 2 Ga 3.19
Ga 0.0000 0.5000 0.5000  8 Pr 3.18-3.19
Cu 0.0000 0.1601 0.5000  8 Pr 3.08-3.21

* total energy: -4.513 eV per atom
* spin magnetization: 0.0 μB per formula unit
* energy of formation: -147 kJ/mol of formula units
* density: 7.01 g/cm3

VASP calculation (GGA-PBE) on a geometry-optimized PrGa2Cu structure.

Cell: 3.7576 6.4551 7.3799 Å, 90.00 90.00 90.00°
Closest atoms and distances in Å follow each position.
Space group Amm2 (No. 38)
Inequivalent atoms, fractional coordinates:
Pr 0.0000 0.0000 0.0000  8 Ga 3.10-3.17
Ga 0.5000 0.1935 0.6987  2 Cu 2.45-2.56, 1 Ga 2.50
Cu 0.5000 0.0000 0.3957  4 Ga 2.45-2.56

* total energy: -3.940 eV per atom
* spin magnetization: 0.0 μB per formula unit
* energy of formation: -80 kJ/mol of formula units
* density: 6.38 g/cm3

VASP calculation (GGA-PBE) on a geometry-optimized Pr2Ga12Cu structure.

Cell: 6.1962 6.1962 15.3257 Å, 90.00 90.00 90.00°
Closest atoms and distances in Å follow each position.
Space group P4/nbm (No. 125, origin choice 2)
Inequivalent atoms, fractional coordinates:
Pr 0.2500 0.7500 0.2452  14 Ga 3.20-3.44
Ga 0.0004 0.9996 0.0854  2 Cu 2.55-2.56, 3 Ga 2.62-2.63
Ga 0.0795 0.5795 0.4300  3 Ga 2.56-2.66
Ga 0.2500 0.2500 0.1809  5 Ga 2.48-2.63
Ga 0.2500 0.2500 0.3430  5 Ga 2.48-2.66
Cu 0.2500 0.7500 0.0000  8 Ga 2.55-2.56

* total energy: -3.689 eV per atom
* spin magnetization: 0.0 μB per formula unit
* energy of formation: -516 kJ/mol of formula units
* density: 6.67 g/cm3

Q: Among the records above, which one has the lowest total energy?
A: Pr4GaCu

Q: Which of these has the lowest energy of formation?
A: Pr2Ga12Cu

Q: What is the density in the fifth record?
A: 6.68 g/cm3

Q: The lowest energy of formation belongs to which entry?
A: Pr2Ga12Cu